[1]
Computed, not measured: Ni2MoCl at its PBEsol-relaxed geometry at the meta-GGA SCAN level of DFT.

Geometry as CIF:
```
data_Ni2MoCl
_cell_length_a 2.820
_cell_length_b 2.820
_cell_length_c 7.822
_cell_angle_alpha 79.61
_cell_angle_beta 79.61
_cell_angle_gamma 60.00
_space_group_name_H-M_alt 'P 1'
_space_group_IT_number 1
loop_
_space_group_symop_operation_xyz
'x,y,z'
loop_
_atom_site_label
_atom_site_type_symbol
_atom_site_fract_x
_atom_site_fract_y
_atom_site_fract_z
Ni1 Ni 0.247 0.247 0.258
Ni2 Ni 0.753 0.753 0.742
Mo1 Mo 0.000 0.000 0.000
Cl1 Cl 0.500 0.500 0.500
```

Results
Symmetry   No. 166
Relative energy among the computed polymorphs   0.053 eV per atom
Formation energy without anion corrections   0.30 eV per atom
DFT total energy   -18.505 eV per atom

[2]
Computed, not measured: Nb5P3 at its PBEsol-relaxed geometry at the meta-GGA SCAN level of DFT.

Geometry as CIF:
```
data_Nb5P3
_cell_length_a 3.417
_cell_length_b 11.481
_cell_length_c 25.380
_cell_angle_alpha 90.00
_cell_angle_beta 90.00
_cell_angle_gamma 90.00
_space_group_name_H-M_alt 'P 1'
_space_group_IT_number 1
loop_
_space_group_symop_operation_xyz
'x,y,z'
loop_
_atom_site_label
_atom_site_type_symbol
_atom_site_fract_x
_atom_site_fract_y
_atom_site_fract_z
Nb1 Nb 0.750 0.443 0.652
Nb2 Nb 0.250 0.621 0.226
Nb3 Nb 0.750 0.057 0.152
Nb4 Nb 0.750 0.459 0.177
Nb5 Nb 0.250 0.085 0.964
Nb6 Nb 0.250 0.288 0.124
Nb7 Nb 0.750 0.041 0.677
Nb8 Nb 0.250 0.568 0.101
Nb9 Nb 0.250 0.415 0.464
Nb10 Nb 0.250 0.879 0.726
Nb11 Nb 0.750 0.432 0.899
Nb12 Nb 0.250 0.843 0.138
Nb13 Nb 0.250 0.345 0.260
Nb14 Nb 0.750 0.712 0.876
Nb15 Nb 0.250 0.541 0.823
Nb16 Nb 0.750 0.068 0.399
Nb17 Nb 0.750 0.788 0.376
Nb18 Nb 0.750 0.915 0.036
Nb19 Nb 0.250 0.806 0.955
Nb20 Nb 0.250 0.155 0.760
Nb21 Nb 0.250 0.557 0.348
Nb22 Nb 0.750 0.585 0.536
Nb23 Nb 0.750 0.121 0.274
Nb24 Nb 0.250 0.109 0.499
Nb25 Nb 0.250 0.657 0.638
Nb26 Nb 0.750 0.157 0.862
Nb27 Nb 0.750 0.194 0.045
Nb28 Nb 0.750 0.891 0.501
Nb29 Nb 0.250 0.932 0.601
Nb30 Nb 0.250 0.694 0.455
Nb31 Nb 0.750 0.609 0.001
Nb32 Nb 0.750 0.655 0.740
Nb33 Nb 0.750 0.343 0.362
Nb34 Nb 0.750 0.379 0.774
Nb35 Nb 0.750 0.306 0.545
Nb36 Nb 0.250 0.391 0.999
Nb37 Nb 0.250 0.943 0.848
Nb38 Nb 0.750 0.845 0.240
Nb39 Nb 0.250 0.212 0.624
Nb40 Nb 0.250 0.959 0.323
P1 P 0.250 0.188 0.342
P2 P 0.750 0.418 0.073
P3 P 0.250 0.750 0.049
P4 P 0.750 0.250 0.951
P5 P 0.750 0.250 0.451
P6 P 0.250 0.746 0.303
P7 P 0.250 0.312 0.842
P8 P 0.250 0.448 0.577
P9 P 0.750 0.246 0.197
P10 P 0.250 0.498 0.720
P11 P 0.250 0.754 0.803
P12 P 0.250 0.918 0.427
P13 P 0.750 0.552 0.423
P14 P 0.750 0.812 0.658
P15 P 0.250 0.002 0.220
P16 P 0.750 0.998 0.780
P17 P 0.750 0.688 0.158
P18 P 0.250 0.582 0.927
P19 P 0.750 0.948 0.923
P20 P 0.250 0.052 0.077
P21 P 0.250 0.750 0.549
P22 P 0.750 0.502 0.280
P23 P 0.750 0.254 0.697
P24 P 0.750 0.082 0.573
```

Results
Symmetry   No. 62
DFT total energy   -25.542 eV per atom

[3]
Computed, not measured: MgSb2Cl at its PBEsol-relaxed geometry at the meta-GGA SCAN level of DFT.

Geometry as CIF:
```
data_MgSb2Cl
_cell_length_a 5.104
_cell_length_b 5.102
_cell_length_c 5.102
_cell_angle_alpha 109.41
_cell_angle_beta 109.46
_cell_angle_gamma 109.46
_space_group_name_H-M_alt 'P 1'
_space_group_IT_number 1
loop_
_space_group_symop_operation_xyz
'x,y,z'
loop_
_atom_site_label
_atom_site_type_symbol
_atom_site_fract_x
_atom_site_fract_y
_atom_site_fract_z
Sb1 Sb 0.000 0.000 0.500
Sb2 Sb 0.000 0.500 0.000
Cl1 Cl 0.500 0.000 0.000
Mg1 Mg 0.500 0.500 0.500
```

Results
Symmetry   No. 139
Relative energy among the computed polymorphs   0.286 eV per atom
Formation energy without anion corrections   -0.27 eV per atom
DFT total energy   -22.136 eV per atom

[4]
Computed, not measured: Fe2OsSe at its PBEsol-relaxed geometry at the meta-GGA SCAN level of DFT.

Geometry as CIF:
```
data_Fe2OsSe
_cell_length_a 2.867
_cell_length_b 4.271
_cell_length_c 4.874
_cell_angle_alpha 115.99
_cell_angle_beta 107.11
_cell_angle_gamma 90.00
_space_group_name_H-M_alt 'P 1'
_space_group_IT_number 1
loop_
_space_group_symop_operation_xyz
'x,y,z'
loop_
_atom_site_label
_atom_site_type_symbol
_atom_site_fract_x
_atom_site_fract_y
_atom_site_fract_z
Os1 Os 0.500 0.000 0.000
Fe1 Fe 0.730 0.730 0.460
Fe2 Fe 0.270 0.270 0.540
Se1 Se 0.000 0.500 0.000
```

Results
Symmetry   No. 71
Formation energy without anion corrections   0.44 eV per atom
DFT total energy   -31.617 eV per atom

[5]
Computed, not measured: CoCuPt2 at its PBEsol-relaxed geometry at the meta-GGA SCAN level of DFT.

Geometry as CIF:
```
data_CoCuPt2
_cell_length_a 2.690
_cell_length_b 4.514
_cell_length_c 4.607
_cell_angle_alpha 100.77
_cell_angle_beta 106.91
_cell_angle_gamma 90.02
_space_group_name_H-M_alt 'P 1'
_space_group_IT_number 1
loop_
_space_group_symop_operation_xyz
'x,y,z'
loop_
_atom_site_label
_atom_site_type_symbol
_atom_site_fract_x
_atom_site_fract_y
_atom_site_fract_z
Pt1 Pt 0.002 0.022 0.004
Pt2 Pt 0.245 0.725 0.491
Co1 Co 0.499 0.512 0.998
Cu1 Cu 0.753 0.241 0.507
```

Results
Symmetry   No. 8
DFT total energy   -43.337 eV per atom

[6]
Computed, not measured: CoRe2Au at its PBEsol-relaxed geometry at the meta-GGA SCAN level of DFT.

Geometry as CIF:
```
data_CoRe2Au
_cell_length_a 2.699
_cell_length_b 4.751
_cell_length_c 4.751
_cell_angle_alpha 113.06
_cell_angle_beta 90.00
_cell_angle_gamma 90.00
_space_group_name_H-M_alt 'P 1'
_space_group_IT_number 1
loop_
_space_group_symop_operation_xyz
'x,y,z'
loop_
_atom_site_label
_atom_site_type_symbol
_atom_site_fract_x
_atom_site_fract_y
_atom_site_fract_z
Au1 Au 0.500 0.500 0.500
Re1 Re 0.000 0.000 0.500
Re2 Re 0.000 0.500 0.000
Co1 Co 0.500 0.000 0.000
```

Results
Symmetry   No. 65
Relative energy among the computed polymorphs   0.103 eV per atom
DFT total energy   -56.747 eV per atom

[7]
Computed, not measured: Ba4NaAl2B8Br3O18 at its PBEsol-relaxed geometry at the meta-GGA SCAN level of DFT.

Geometry as CIF:
```
data_Ba4NaAl2B8Br3O18
_cell_length_a 6.865
_cell_length_b 12.199
_cell_length_c 12.199
_cell_angle_alpha 90.00
_cell_angle_beta 90.00
_cell_angle_gamma 90.00
_space_group_name_H-M_alt 'P 1'
_space_group_IT_number 1
loop_
_space_group_symop_operation_xyz
'x,y,z'
loop_
_atom_site_label
_atom_site_type_symbol
_atom_site_fract_x
_atom_site_fract_y
_atom_site_fract_z
Al1 Al 0.998 0.295 0.295
Al2 Al 0.998 0.705 0.705
Al3 Al 0.498 0.795 0.205
Al4 Al 0.498 0.205 0.795
O1 O 0.589 0.762 0.074
O2 O 0.241 0.799 0.201
O3 O 0.167 0.388 0.753
O4 O 0.741 0.701 0.701
O5 O 0.741 0.299 0.299
O6 O 0.667 0.888 0.747
O7 O 0.917 0.250 0.750
O8 O 0.667 0.747 0.888
O9 O 0.589 0.926 0.238
O10 O 0.342 0.060 0.199
O11 O 0.342 0.940 0.801
O12 O 0.667 0.253 0.112
O13 O 0.342 0.801 0.940
O14 O 0.167 0.753 0.388
O15 O 0.089 0.574 0.738
O16 O 0.167 0.247 0.612
O17 O 0.589 0.699 0.301
O18 O 0.589 0.238 0.926
O19 O 0.842 0.301 0.560
O20 O 0.667 0.112 0.253
O21 O 0.417 0.250 0.250
O22 O 0.589 0.301 0.699
O23 O 0.917 0.750 0.250
O24 O 0.589 0.074 0.762
O25 O 0.089 0.738 0.574
O26 O 0.089 0.262 0.426
O27 O 0.089 0.801 0.801
O28 O 0.842 0.560 0.301
O29 O 0.089 0.426 0.262
O30 O 0.342 0.199 0.060
O31 O 0.842 0.440 0.699
O32 O 0.842 0.699 0.440
O33 O 0.089 0.199 0.199
O34 O 0.417 0.750 0.750
O35 O 0.167 0.612 0.247
O36 O 0.241 0.201 0.799
Ba1 Ba 0.491 0.521 0.774
Ba2 Ba 0.991 0.979 0.274
Ba3 Ba 0.991 0.021 0.726
Ba4 Ba 0.491 0.226 0.479
Ba5 Ba 0.491 0.774 0.521
Ba6 Ba 0.991 0.726 0.021
Ba7 Ba 0.491 0.479 0.226
Ba8 Ba 0.991 0.274 0.979
Br1 Br 0.257 0.500 0.000
Br2 Br 0.257 0.000 0.500
Br3 Br 0.757 0.000 0.500
Br4 Br 0.913 0.000 0.000
Br5 Br 0.757 0.500 0.000
Br6 Br 0.413 0.500 0.500
B1 B 0.626 0.771 0.771
B2 B 0.793 0.319 0.681
B3 B 0.793 0.681 0.319
B4 B 0.293 0.819 0.819
B5 B 0.626 0.229 0.229
B6 B 0.030 0.532 0.269
B7 B 0.030 0.468 0.731
B8 B 0.126 0.729 0.271
B9 B 0.030 0.731 0.468
B10 B 0.030 0.269 0.532
B11 B 0.530 0.968 0.769
B12 B 0.530 0.769 0.968
B13 B 0.530 0.231 0.032
B14 B 0.293 0.181 0.181
B15 B 0.530 0.032 0.231
B16 B 0.126 0.271 0.729
Na1 Na 0.329 0.000 0.000
Na2 Na 0.829 0.500 0.500
```

Results
Symmetry   No. 102
Formation energy without anion corrections   -2.88 eV per atom
DFT total energy   -14.214 eV per atom

[8]
Computed, not measured: Pm2ZnRu at its PBEsol-relaxed geometry at the meta-GGA SCAN level of DFT.

Geometry as CIF:
```
data_Pm2ZnRu
_cell_length_a 4.952
_cell_length_b 4.952
_cell_length_c 4.952
_cell_angle_alpha 60.00
_cell_angle_beta 60.00
_cell_angle_gamma 60.00
_space_group_name_H-M_alt 'P 1'
_space_group_IT_number 1
loop_
_space_group_symop_operation_xyz
'x,y,z'
loop_
_atom_site_label
_atom_site_type_symbol
_atom_site_fract_x
_atom_site_fract_y
_atom_site_fract_z
Pm1 Pm 0.250 0.250 0.250
Pm2 Pm 0.750 0.750 0.750
Zn1 Zn 0.000 0.000 0.000
Ru1 Ru 0.500 0.500 0.500
```

Results
Symmetry   No. 225
DFT total energy   -34.407 eV per atom

[9]
Computed, not measured: RbCd2OsC at its PBEsol-relaxed geometry at the meta-GGA SCAN level of DFT.

Geometry as CIF:
```
data_RbCd2OsC
_cell_length_a 4.431
_cell_length_b 4.431
_cell_length_c 5.421
_cell_angle_alpha 90.00
_cell_angle_beta 90.00
_cell_angle_gamma 90.00
_space_group_name_H-M_alt 'P 1'
_space_group_IT_number 1
loop_
_space_group_symop_operation_xyz
'x,y,z'
loop_
_atom_site_label
_atom_site_type_symbol
_atom_site_fract_x
_atom_site_fract_y
_atom_site_fract_z
Rb1 Rb 0.000 0.000 0.500
C1 C 0.000 0.000 0.000
Os1 Os 0.500 0.500 0.500
Cd1 Cd 0.500 0.000 0.000
Cd2 Cd 0.000 0.500 0.000
```

Results
Symmetry   No. 123
DFT total energy   -30.881 eV per atom

So what do the calculations give for Fermi-level density of states? Going down the list: 4.5; 29.6; 1.5; 3.1; 2.4; 2.4; 0.0; 2.7; 2.3 states/eV per cell.